# 1
DFT (PBE) results for crystalline SnHg2O4 at its relaxed geometry. Values from VASP.

**Energy above the most stable polymorph in this dataset**: 0 meV per atom
**E_form (uncorrected)**: -0.807 eV per atom
**N(E_F)**: 0.3 states/eV/f.u.

The structure in Quantum ESPRESSO input format:
```
&SYSTEM
  ibrav = 0, nat = 7, ntyp = 3
/
ATOMIC_SPECIES
O 16.00 O.upf
Hg 200.59 Hg.upf
Sn 118.71 Sn.upf
ATOMIC_POSITIONS angstrom
O 0.0000 1.4246 5.1524
O 1.6871 1.1992 0.5935
O 1.6871 -1.7898 4.1194
O 0.0000 4.4136 1.6265
Hg 1.6871 2.6147 2.1330
Hg 0.0000 0.0091 3.6130
Sn 0.0000 0.0000 0.0000
CELL_PARAMETERS angstrom
3.3742 0.0000 0.0000
0.0000 5.4449 -0.1539
-1.6871 -2.8211 5.8999
```


# 2
DFT (PBE) results for crystalline SnHg2O4 at its relaxed geometry. Values from VASP.

**Energy above the most stable polymorph in this dataset**: 239 meV per atom
**E_form (uncorrected)**: -0.568 eV per atom
**N(E_F)**: 3.4 states/eV/f.u.

The structure in Quantum ESPRESSO input format:
```
&SYSTEM
  ibrav = 0, nat = 7, ntyp = 3
/
ATOMIC_SPECIES
O 16.00 O.upf
Hg 200.59 Hg.upf
Sn 118.71 Sn.upf
ATOMIC_POSITIONS angstrom
O 2.0508 2.0508 3.9571
O 4.1016 4.1016 2.0628
O 0.0000 2.0508 0.0000
O 2.0508 0.0000 0.0000
Hg 4.1016 4.1016 4.2033
Hg 2.0508 2.0508 1.8165
Sn 0.0000 0.0000 0.0000
CELL_PARAMETERS angstrom
4.1016 0.0000 0.0000
0.0000 4.1016 0.0000
2.0508 2.0508 6.0199
```


# 3
DFT (PBE) results for crystalline SnHg2O at its relaxed geometry. Values from VASP.

**Energy above the most stable polymorph in this dataset**: 278 meV per atom
**E_form (uncorrected)**: 0.293 eV per atom
**N(E_F)**: 0.8 states/eV/f.u.

The structure in Quantum ESPRESSO input format:
```
&SYSTEM
  ibrav = 0, nat = 4, ntyp = 3
/
ATOMIC_SPECIES
Hg 200.59 Hg.upf
O 16.00 O.upf
Sn 118.71 Sn.upf
ATOMIC_POSITIONS angstrom
Hg -5.8253 0.4529 6.8833
Hg -1.9418 0.1510 2.2944
O 0.0000 0.0000 0.0000
Sn -3.8835 0.3019 4.5889
CELL_PARAMETERS angstrom
-0.4509 0.7874 4.8302
-3.9681 2.3094 1.7534
-3.3480 -2.4929 2.5942
```


# 4
DFT (PBE) results for crystalline SnHg3O at its relaxed geometry. Values from VASP.

**E_form (uncorrected)**: 0.256 eV per atom
**N(E_F)**: 3.5 states/eV/f.u.

The structure in Quantum ESPRESSO input format:
```
&SYSTEM
  ibrav = 0, nat = 5, ntyp = 3
/
ATOMIC_SPECIES
Hg 200.59 Hg.upf
Sn 118.71 Sn.upf
O 16.00 O.upf
ATOMIC_POSITIONS angstrom
Hg 0.6749 -2.1721 -0.9005
Hg 2.3514 0.6191 0.2691
Hg -0.0110 -0.9397 2.2586
Sn 3.0153 -2.4928 1.6272
O 0.0000 0.0000 0.0000
CELL_PARAMETERS angstrom
-0.0220 -1.8795 4.5172
1.3499 -4.3443 -1.8009
4.7027 1.2382 0.5381
```


> Number 4 is which compound?

SnHg3O